# MoOsO2 GGA+U relaxed
# ΔE to the lowest computed polymorph = 0.0 meV/atom
# Total magnetization = 0.00 μB/atom
data_MoOsO2
_chemical_formula_sum 'Mo3 Os3 O6'
_cell_length_a 2.7414
_cell_length_b 2.7414
_cell_length_c 20.5640
_cell_angle_alpha 90.00
_cell_angle_beta 90.00
_cell_angle_gamma 120.00
_space_group_name_H-M_alt 'R -3 m'
_space_group_IT_number 166
_space_group_name_Hall '-R 3 2"'
loop_
_atom_site_label
_atom_site_type_symbol
_atom_site_fract_x
_atom_site_fract_y
_atom_site_fract_z
Mo1 Mo 0.0000 0.0000 0.0000
Os1 Os 0.0000 0.0000 0.5000
O1 O 0.0000 0.0000 0.4030